No. 1
Compound: TlRh3
Source: Alexandria via LeMat-Bulk
Functional: PBE
Structure: optimized geometry

The value obtained for the raw total energy is -5.96 eV per atom. The calculation puts the magnetization at 0.00 μB/atom. The value obtained for the density of states at the Fermi level is 3.3 states/eV/f.u. Its crystal system is hexagonal.

The space group is P6_3/mmc (No. 194) and the conventional cell measures 5.6960, 5.6960 and 4.5791 Å, with angles of 90.00, 90.00 and 120.00 degrees. The inequivalent atoms are Tl at (0.3333, 0.6667, 0.2500) and Rh at (0.1607, 0.3214, 0.7500).

***

No. 2
Compound: AlIrOs
Source: Alexandria via LeMat-Bulk
Functional: PBE
Structure: optimized geometry

The value obtained for the raw total energy is -7.92 eV per atom. The calculation puts the magnetization at 0.00 μB/atom. The value obtained for the density of states at the Fermi level is 1.9 states/eV/f.u. Its crystal system is cubic.

The space group is F-43m (No. 216) and the conventional cell measures 5.883, 5.883 and 5.883 Å, with angles of 90.00, 90.00 and 90.00 degrees. The inequivalent atoms are Al at (0.000, 0.000, 0.000), Ir at (0.250, 0.250, 0.750) and Os at (0.000, 0.000, 0.500).

***

No. 3
Compound: YZrCu4
Source: Alexandria via LeMat-Bulk
Functional: PBE
Structure: optimized geometry

The value obtained for the raw total energy is -5.31 eV per atom. The calculation puts the magnetization at 0.00 μB/atom. The value obtained for the density of states at the Fermi level is 6.7 states/eV/f.u. Its crystal system is cubic.

The space group is F-43m (No. 216) and the conventional cell measures 7.305, 7.305 and 7.305 Å, with angles of 90.00, 90.00 and 90.00 degrees. The inequivalent atoms are Y at (0.000, 0.000, 0.000), Zr at (0.250, 0.250, 0.750) and Cu at (0.124, 0.124, 0.376).

***

No. 4
Compound: LaTbHoLu
Source: Alexandria via LeMat-Bulk
Functional: PBE
Structure: optimized geometry

The value obtained for the raw total energy is -4.57 eV per atom. The calculation puts the magnetization at 0.00 μB/atom. The value obtained for the density of states at the Fermi level is 6.2 states/eV/f.u. Its crystal system is cubic.

The space group is F-43m (No. 216) and the conventional cell measures 8.066, 8.066 and 8.066 Å, with angles of 90.00, 90.00 and 90.00 degrees. The inequivalent atoms are La at (0.000, 0.000, 0.000), Tb at (0.000, 0.000, 0.500), Ho at (0.250, 0.250, 0.250) and Lu at (0.250, 0.250, 0.750).

***

No. 5
Compound: NbOsPb3
Source: Alexandria via LeMat-Bulk
Functional: PBE
Structure: optimized geometry

The value obtained for the raw total energy is -5.24 eV per atom. The calculation puts the magnetization at 0.84 μB/atom. The value obtained for the density of states at the Fermi level is 6.6 states/eV/f.u. Its crystal system is cubic.

The space group is Pm-3m (No. 221) and the conventional cell measures 5.281, 5.281 and 5.281 Å, with angles of 90.00, 90.00 and 90.00 degrees. The inequivalent atoms are Nb at (0.000, 0.000, 0.000), Os at (0.500, 0.500, 0.500) and Pb at (0.000, 0.500, 0.500).

***

No. 6
Compound: La2Tl2SbO6
Source: Alexandria via LeMat-Bulk
Functional: PBE
Structure: optimized geometry

The calculation puts the uncorrected formation energy at -188.4 kJ/mol of atoms. The value obtained for the raw total energy is -6.36 eV per atom. The calculation puts the magnetization at 0.00 μB/atom. The value obtained for the density of states at the Fermi level is 5.2 states/eV/f.u. Its crystal system is monoclinic.

The space group is C2/m (No. 12) and the conventional cell measures 6.291, 10.776 and 6.784 Å, with angles of 90.00, 106.00 and 90.00 degrees. The inequivalent atoms are La at (0.000, 0.165, 0.000), Tl at (0.000, 0.339, 0.500), Sb at (0.000, 0.500, 0.000), O at (0.200, 0.348, 0.163) and O at (0.240, 0.500, 0.823).